Zn2NiSe2: optimized geometry, PBE.

Computed properties:
ΔE_f (raw) = 0.173 eV/atom
Relative energy among the computed polymorphs = 0.00 eV/f.u.
Energy = -2.886 eV/atom
Total magnetic moment = 0.74 μB per cell
Theoretical density = 6.69 g cm⁻³

Lattice parameters (Å, degrees): 6.947 6.947 3.574 90.00 90.00 90.00
Space group P4/mbm (No. 127)
One atom of each set of equivalent atoms:
Zn 0.136 0.364 0.000 [4 per cell]
Ni 0.000 0.000 0.000 [2 per cell]
Se 0.180 0.680 0.500 [4 per cell]



Zn2NiSe: optimized geometry, PBE.

Computed properties:
ΔE_f (raw) = -0.099 eV/atom
Energy = -3.053 eV/atom
Total magnetic moment = 0.00 μB per cell
Theoretical density = 6.27 g cm⁻³

Lattice parameters (Å, degrees): 8.627 2.893 5.989 90.00 107.81 90.00
Space group Cm (No. 8)
One atom of each set of equivalent atoms:
Zn 0.000 0.000 0.000 [2 per cell]
Zn 0.227 0.000 0.767 [2 per cell]
Ni 0.481 0.000 0.658 [2 per cell]
Se 0.379 0.500 0.332 [2 per cell]



ZnNiSe2: optimized geometry, PBE.

Computed properties:
ΔE_f (raw) = -0.218 eV/atom
Energy = -3.724 eV/atom
Total magnetic moment = 0.00 μB per cell
Theoretical density = 6.37 g cm⁻³

Lattice parameters (Å, degrees): 4.492 4.891 6.694 90.00 90.00 90.00
Space group Amm2 (No. 38)
One atom of each set of equivalent atoms:
Zn 0.000 0.000 0.000 [2 per cell]
Ni 0.500 0.000 0.224 [2 per cell]
Se 0.000 0.000 0.374 [2 per cell]
Se 0.500 0.000 0.823 [2 per cell]



ZnNiSe2: optimized geometry, PBE.

Computed properties:
ΔE_f (raw) = 0.054 eV/atom
Energy = -3.452 eV/atom
Total magnetic moment = 0.00 μB per cell
Theoretical density = 6.27 g cm⁻³

Lattice parameters (Å, degrees): 2.827 2.827 9.346 90.00 90.00 90.00
Space group P4mm (No. 99)
One atom of each set of equivalent atoms:
Zn 0.000 0.000 0.000 [1 per cell]
Ni 0.500 0.500 0.170 [1 per cell]
Se 0.000 0.000 0.347 [1 per cell]
Se 0.500 0.500 0.753 [1 per cell]



Zn2NiSe: optimized geometry, PBE.

Computed properties:
ΔE_f (raw) = 0.221 eV/atom
Energy = -2.732 eV/atom
Total magnetic moment = 0.00 μB per cell
Theoretical density = 5.05 g cm⁻³

Lattice parameters (Å, degrees): 5.782 5.782 10.571 90.00 90.00 90.00
Space group I-42d (No. 122)
One atom of each set of equivalent atoms:
Zn 0.236 0.250 0.125 [8 per cell]
Ni 0.000 0.000 0.000 [4 per cell]
Se 0.000 0.000 0.500 [4 per cell]



Zn2NiSe: optimized geometry, PBE.

Computed properties:
ΔE_f (raw) = -0.109 eV/atom
Energy = -3.063 eV/atom
Total magnetic moment = 0.00 μB per cell
Theoretical density = 6.74 g cm⁻³

Lattice parameters (Å, degrees): 2.788 4.118 11.520 90.00 90.00 90.00
Space group Imm2 (No. 44)
One atom of each set of equivalent atoms:
Zn 0.000 0.000 0.000 [2 per cell]
Zn 0.000 0.500 0.159 [2 per cell]
Ni 0.000 0.500 0.681 [2 per cell]
Se 0.000 0.000 0.358 [2 per cell]



ZnNiSe3: optimized geometry, PBE.

Computed properties:
ΔE_f (raw) = 0.351 eV/atom
Relative energy among the computed polymorphs = 0.00 eV/f.u.
Energy = -3.150 eV/atom
Total magnetic moment = 0.00 μB per cell
Theoretical density = 5.68 g cm⁻³

Lattice parameters (Å, degrees): 4.725 4.725 4.725 90.00 90.00 90.00
Space group Pm-3m (No. 221)
One atom of each set of equivalent atoms:
Zn 0.000 0.000 0.000 [1 per cell]
Ni 0.500 0.500 0.500 [1 per cell]
Se 0.000 0.500 0.500 [3 per cell]



Zn2NiSe: optimized geometry, PBE.

Computed properties:
ΔE_f (raw) = -0.091 eV/atom
Energy = -3.045 eV/atom
Total magnetic moment = 0.00 μB per cell
Theoretical density = 6.87 g cm⁻³

Lattice parameters (Å, degrees): 3.695 3.105 5.940 90.00 107.73 90.00
Space group Pm (No. 6)
One atom of each set of equivalent atoms:
Zn 0.000 0.000 0.000 [1 per cell]
Zn 0.345 0.500 0.696 [1 per cell]
Ni 0.785 0.000 0.572 [1 per cell]
Se 0.623 0.500 0.248 [1 per cell]



ZnNiSe2: optimized geometry, PBE.

Computed properties:
ΔE_f (raw) = -0.045 eV/atom
Energy = -3.551 eV/atom
Total magnetic moment = 0.00 μB per cell
Theoretical density = 6.63 g cm⁻³

Lattice parameters (Å, degrees): 3.330 3.523 12.042 90.00 90.00 90.00
Space group Imm2 (No. 44)
One atom of each set of equivalent atoms:
Zn 0.000 0.000 0.000 [2 per cell]
Ni 0.000 0.500 0.748 [2 per cell]
Se 0.000 0.000 0.401 [2 per cell]
Se 0.000 0.500 0.171 [2 per cell]



ZnNiSe2: optimized geometry, PBE.

Computed properties:
ΔE_f (raw) = -0.076 eV/atom
Energy = -3.582 eV/atom
Total magnetic moment = 0.00 μB per cell
Theoretical density = 6.43 g cm⁻³

Lattice parameters (Å, degrees): 5.522 7.425 3.552 90.00 90.00 90.00
Space group Cmmm (No. 65)
One atom of each set of equivalent atoms:
Zn 0.000 0.000 0.000 [2 per cell]
Ni 0.000 0.500 0.000 [2 per cell]
Se 0.000 0.286 0.500 [4 per cell]



Zn2NiSe: optimized geometry, PBE.

Computed properties:
ΔE_f (raw) = 0.072 eV/atom
Energy = -2.882 eV/atom
Total magnetic moment = 0.00 μB per cell
Theoretical density = 7.35 g cm⁻³

Lattice parameters (Å, degrees): 3.846 3.846 8.202 90.00 90.00 90.00
Space group I-4m2 (No. 119)
One atom of each set of equivalent atoms:
Zn 0.000 0.000 0.000 [2 per cell]
Zn 0.000 0.500 0.250 [2 per cell]
Ni 0.000 0.500 0.750 [2 per cell]
Se 0.000 0.000 0.500 [2 per cell]



ZnNi3Se: optimized geometry, PBE.

Computed properties:
ΔE_f (raw) = 0.361 eV/atom
Relative energy among the computed polymorphs = 0.00 eV/f.u.
Energy = -4.059 eV/atom
Total magnetic moment = 0.00 μB per cell
Theoretical density = 6.56 g cm⁻³

Lattice parameters (Å, degrees): 4.328 4.328 4.328 90.00 90.00 90.00
Space group Pm-3m (No. 221)
One atom of each set of equivalent atoms:
Zn 0.000 0.000 0.000 [1 per cell]
Ni 0.000 0.500 0.500 [3 per cell]
Se 0.500 0.500 0.500 [1 per cell]



Zn2NiSe: optimized geometry, PBE.

Computed properties:
ΔE_f (raw) = 0.001 eV/atom
Energy = -2.953 eV/atom
Total magnetic moment = 0.00 μB per cell
Theoretical density = 7.34 g cm⁻³

Lattice parameters (Å, degrees): 3.390 3.390 5.285 90.00 90.00 90.00
Space group P4mm (No. 99)
One atom of each set of equivalent atoms:
Zn 0.000 0.000 0.000 [1 per cell]
Zn 0.500 0.500 0.255 [1 per cell]
Ni 0.000 0.000 0.472 [1 per cell]
Se 0.500 0.500 0.731 [1 per cell]



ZnNiSe2: optimized geometry, PBE.

Computed properties:
ΔE_f (raw) = 0.017 eV/atom
Energy = -3.489 eV/atom
Total magnetic moment = 0.00 μB per cell
Theoretical density = 6.47 g cm⁻³

Lattice parameters (Å, degrees): 5.080 5.080 5.609 90.00 90.00 90.00
Space group I4/mmm (No. 139)
One atom of each set of equivalent atoms:
Zn 0.000 0.000 0.000 [2 per cell]
Ni 0.000 0.000 0.500 [2 per cell]
Se 0.000 0.500 0.000 [4 per cell]



Zn2NiSe: optimized geometry, PBE.

Computed properties:
ΔE_f (raw) = 0.141 eV/atom
Energy = -2.812 eV/atom
Total magnetic moment = 0.00 μB per cell
Theoretical density = 7.26 g cm⁻³

Lattice parameters (Å, degrees): 6.263 6.263 6.263 90.00 90.00 90.00
Space group F-43m (No. 216)
One atom of each set of equivalent atoms:
Zn 0.000 0.000 0.000 [4 per cell]
Zn 0.250 0.250 0.250 [4 per cell]
Ni 0.000 0.000 0.500 [4 per cell]
Se 0.250 0.250 0.750 [4 per cell]



ZnNiSe2: optimized geometry, PBE.

Computed properties:
ΔE_f (raw) = -0.366 eV/atom
Energy = -3.872 eV/atom
Total magnetic moment = 0.00 μB per cell
Theoretical density = 5.48 g cm⁻³

Lattice parameters (Å, degrees): 5.550 5.550 11.086 90.00 90.00 90.00
Space group I-42d (No. 122)
One atom of each set of equivalent atoms:
Zn 0.000 0.000 0.000 [4 per cell]
Ni 0.000 0.000 0.500 [4 per cell]
Se 0.224 0.250 0.625 [8 per cell]



Zn2NiSe: optimized geometry, PBE.

Computed properties:
ΔE_f (raw) = 0.038 eV/atom
Energy = -2.915 eV/atom
Total magnetic moment = 0.00 μB per cell
Theoretical density = 6.67 g cm⁻³

Lattice parameters (Å, degrees): 3.2694 3.2694 21.6693 90.00 90.00 120.00
Space group R3m (No. 160, hexagonal axes)
One atom of each set of equivalent atoms:
Zn 0.0000 0.0000 0.0000 [3 per cell]
Zn 0.0000 0.0000 0.2476 [3 per cell]
Ni 0.0000 0.0000 0.7488 [3 per cell]
Se 0.0000 0.0000 0.4787 [3 per cell]



Zn2NiSe: optimized geometry, PBE.

Computed properties:
ΔE_f (raw) = 0.094 eV/atom
Energy = -2.859 eV/atom
Total magnetic moment = 0.00 μB per cell
Theoretical density = 7.16 g cm⁻³

Lattice parameters (Å, degrees): 3.040 4.950 4.140 90.00 92.67 90.00
Space group P2/m (No. 10)
One atom of each set of equivalent atoms:
Zn 0.249 0.000 0.243 [2 per cell]
Ni 0.000 0.500 0.000 [1 per cell]
Se 0.500 0.500 0.500 [1 per cell]



ZnNiSe2: optimized geometry, PBE.

Computed properties:
ΔE_f (raw) = -0.157 eV/atom
Energy = -3.663 eV/atom
Total magnetic moment = 0.00 μB per cell
Theoretical density = 5.51 g cm⁻³

Lattice parameters (Å, degrees): 3.6877 3.6877 21.6480 90.00 90.00 120.00
Space group R-3m (No. 166, hexagonal axes)
One atom of each set of equivalent atoms:
Zn 0.0000 0.0000 0.0000 [3 per cell]
Ni 0.0000 0.0000 0.5000 [3 per cell]
Se 0.0000 0.0000 0.1101 [6 per cell]



Zn2NiSe: optimized geometry, PBE.

Computed properties:
ΔE_f (raw) = 0.127 eV/atom
Energy = -2.827 eV/atom
Total magnetic moment = 0.00 μB per cell
Theoretical density = 6.97 g cm⁻³

Lattice parameters (Å, degrees): 3.0748 3.0748 23.4454 90.00 90.00 120.00
Space group R-3m (No. 166, hexagonal axes)
One atom of each set of equivalent atoms:
Zn 0.0000 0.0000 0.2407 [6 per cell]
Ni 0.0000 0.0000 0.5000 [3 per cell]
Se 0.0000 0.0000 0.0000 [3 per cell]



Zn2NiSe: optimized geometry, PBE.

Computed properties:
ΔE_f (raw) = 0.049 eV/atom
Energy = -2.904 eV/atom
Total magnetic moment = 0.00 μB per cell
Theoretical density = 7.24 g cm⁻³

Lattice parameters (Å, degrees): 8.799 3.501 4.065 90.00 100.52 90.00
Space group C2/m (No. 12)
One atom of each set of equivalent atoms:
Zn 0.243 0.000 0.221 [4 per cell]
Ni 0.000 0.500 0.000 [2 per cell]
Se 0.000 0.000 0.500 [2 per cell]



ZnNiSe2: optimized geometry, PBE.

Computed properties:
ΔE_f (raw) = 0.045 eV/atom
Energy = -3.461 eV/atom
Total magnetic moment = 1.72 μB per cell
Theoretical density = 5.22 g cm⁻³

Lattice parameters (Å, degrees): 3.478 6.976 7.401 90.00 90.00 90.00
Space group Immm (No. 71)
One atom of each set of equivalent atoms:
Zn 0.000 0.000 0.000 [2 per cell]
Ni 0.000 0.500 0.000 [2 per cell]
Se 0.000 0.229 0.500 [4 per cell]



ZnNiSe2: optimized geometry, PBE.

Computed properties:
ΔE_f (raw) = -0.235 eV/atom
Energy = -3.742 eV/atom
Total magnetic moment = 0.00 μB per cell
Theoretical density = 6.73 g cm⁻³

Lattice parameters (Å, degrees): 6.315 3.642 6.408 90.00 109.19 90.00
Space group C2/m (No. 12)
One atom of each set of equivalent atoms:
Zn 0.000 0.000 0.000 [2 per cell]
Ni 0.000 0.500 0.500 [2 per cell]
Se 0.242 0.000 0.722 [4 per cell]



Zn2NiSe: optimized geometry, PBE.

Computed properties:
ΔE_f (raw) = -0.023 eV/atom
Energy = -2.977 eV/atom
Total magnetic moment = 0.00 μB per cell
Theoretical density = 7.41 g cm⁻³

Lattice parameters (Å, degrees): 3.437 3.437 5.092 90.00 90.00 90.00
Space group P4/mmm (No. 123)
One atom of each set of equivalent atoms:
Zn 0.000 0.000 0.236 [2 per cell]
Ni 0.500 0.500 0.000 [1 per cell]
Se 0.500 0.500 0.500 [1 per cell]



ZnNi4Se: optimized geometry, PBE.

Computed properties:
ΔE_f (raw) = 0.178 eV/atom
Energy = -4.469 eV/atom
Total magnetic moment = 0.00 μB per cell
Theoretical density = 8.13 g cm⁻³

Lattice parameters (Å, degrees): 6.767 6.767 6.767 90.00 90.00 90.00
Space group F-43m (No. 216)
One atom of each set of equivalent atoms:
Zn 0.000 0.000 0.000 [4 per cell]
Ni 0.125 0.125 0.625 [16 per cell]
Se 0.250 0.250 0.250 [4 per cell]



Zn2NiSe2: optimized geometry, PBE.

Computed properties:
ΔE_f (raw) = 0.463 eV/atom
Relative energy among the computed polymorphs = 1.45 eV/f.u.
Energy = -2.597 eV/atom
Total magnetic moment = 0.00 μB per cell
Theoretical density = 5.78 g cm⁻³

Lattice parameters (Å, degrees): 3.575 3.575 15.618 90.00 90.00 90.00
Space group I4/mmm (No. 139)
One atom of each set of equivalent atoms:
Zn 0.000 0.000 0.077 [4 per cell]
Ni 0.000 0.000 0.500 [2 per cell]
Se 0.000 0.500 0.250 [4 per cell]



Zn2NiSe: optimized geometry, PBE.

Computed properties:
ΔE_f (raw) = 0.077 eV/atom
Energy = -2.877 eV/atom
Total magnetic moment = 0.00 μB per cell
Theoretical density = 7.46 g cm⁻³

Lattice parameters (Å, degrees): 3.748 3.748 8.509 90.00 90.00 90.00
Space group I4/mmm (No. 139)
One atom of each set of equivalent atoms:
Zn 0.000 0.500 0.250 [4 per cell]
Ni 0.000 0.000 0.000 [2 per cell]
Se 0.000 0.000 0.500 [2 per cell]



ZnNiSe2: optimized geometry, PBE.

Computed properties:
ΔE_f (raw) = -0.285 eV/atom
Energy = -3.791 eV/atom
Total magnetic moment = 0.00 μB per cell
Theoretical density = 5.70 g cm⁻³

Lattice parameters (Å, degrees): 11.419 3.565 4.195 90.00 105.89 90.00
Space group Cm (No. 8)
One atom of each set of equivalent atoms:
Zn 0.000 0.000 0.000 [2 per cell]
Ni 0.258 0.500 0.867 [2 per cell]
Se 0.131 0.000 0.629 [2 per cell]
Se 0.370 0.000 0.178 [2 per cell]



Zn4NiSe: optimized geometry, PBE.

Computed properties:
ΔE_f (raw) = 0.248 eV/atom
Energy = -2.146 eV/atom
Total magnetic moment = 0.00 μB per cell
Theoretical density = 7.06 g cm⁻³

Lattice parameters (Å, degrees): 7.214 7.214 7.214 90.00 90.00 90.00
Space group F-43m (No. 216)
One atom of each set of equivalent atoms:
Zn 0.125 0.125 0.125 [16 per cell]
Ni 0.250 0.250 0.750 [4 per cell]
Se 0.000 0.000 0.500 [4 per cell]